# 1
DFT (GGA-PBE) results for an optimized crystal structure of Re2SbAs.

The crystal system is cubic. The value obtained for the uncorrected formation energy is 0.52 eV/atom. For the total DFT energy (no corrections), the calculation gives -7.901 eV/atom. The offset from the most stable computed form comes out at 33.8 kJ/mol of atoms.

The structure belongs to space group Fm-3m (No. 225); the cell edges are 6.3819, 6.3819 and 6.3819 Å and the angles 90.00°, 90.00° and 90.00°. The distinct sites, in fractional coordinates, are Re at (0.2500, 0.2500, 0.2500), Sb at (0.0000, 0.0000, 0.0000) and As at (0.0000, 0.0000, 0.5000).

***

# 2
DFT (GGA-PBE) results for an optimized crystal structure of Re2SbAs.

The crystal system is orthorhombic. The value obtained for the uncorrected formation energy is 0.91 eV/atom. For the total DFT energy (no corrections), the calculation gives -7.511 eV/atom. The offset from the most stable computed form comes out at 71.5 kJ/mol of atoms.

The structure belongs to space group Pmmm (No. 47); the cell edges are 3.1106, 4.2580 and 5.2527 Å and the angles 90.00°, 90.00° and 90.00°. The distinct sites, in fractional coordinates, are Re at (0.0000, 0.0000, 0.0000), Re at (0.5000, 0.0000, 0.5000), Sb at (0.0000, 0.5000, 0.5000) and As at (0.5000, 0.5000, 0.0000).

***

# 3
DFT (GGA-PBE) results for an optimized crystal structure of Sc2ReSbAs.

The crystal system is tetragonal. The value obtained for the uncorrected formation energy is 1.32 eV/atom. For the total DFT energy (no corrections), the calculation gives -5.456 eV/atom.

The structure belongs to space group P4/mmm (No. 123); the cell edges are 5.2831, 5.2831 and 5.1174 Å and the angles 90.00°, 90.00° and 90.00°. The distinct sites, in fractional coordinates, are Sc at (0.0000, 0.5000, 0.0000), Re at (0.0000, 0.0000, 0.5000), Sb at (0.5000, 0.5000, 0.0000) and As at (0.5000, 0.5000, 0.5000).

***

# 4
DFT (GGA-PBE) results for an optimized crystal structure of ReSbAs2Se.

The crystal system is tetragonal. The value obtained for the uncorrected formation energy is 0.57 eV/atom. For the total DFT energy (no corrections), the calculation gives -5.301 eV/atom. The offset from the most stable computed form comes out at 0.0 kJ/mol of atoms.

The structure belongs to space group P4/mmm (No. 123); the cell edges are 4.7008, 4.7008 and 5.4693 Å and the angles 90.00°, 90.00° and 90.00°. The distinct sites, in fractional coordinates, are Re at (0.0000, 0.0000, 0.0000), Sb at (0.5000, 0.5000, 0.5000), As at (0.0000, 0.5000, 0.0000) and Se at (0.0000, 0.0000, 0.5000).

***

# 5
DFT (GGA-PBE) results for an optimized crystal structure of ReSbAsSe2.

The crystal system is tetragonal. The value obtained for the uncorrected formation energy is 0.57 eV/atom. For the total DFT energy (no corrections), the calculation gives -5.066 eV/atom. The offset from the most stable computed form comes out at 0.0 kJ/mol of atoms.

The structure belongs to space group P4/mmm (No. 123); the cell edges are 4.9153, 4.9153 and 4.8487 Å and the angles 90.00°, 90.00° and 90.00°. The distinct sites, in fractional coordinates, are Re at (0.0000, 0.0000, 0.0000), Sb at (0.5000, 0.5000, 0.5000), As at (0.0000, 0.0000, 0.5000) and Se at (0.0000, 0.5000, 0.0000).

***

# 6
DFT (GGA-PBE) results for an optimized crystal structure of VReSbAs2.

The crystal system is tetragonal. The value obtained for the uncorrected formation energy is 2.11 eV/atom. For the total DFT energy (no corrections), the calculation gives -4.892 eV/atom.

The structure belongs to space group P4/mmm (No. 123); the cell edges are 5.1574, 5.1574 and 4.9234 Å and the angles 90.00°, 90.00° and 90.00°. The distinct sites, in fractional coordinates, are V at (0.0000, 0.0000, 0.0000), Re at (0.5000, 0.5000, 0.0000), Sb at (0.5000, 0.5000, 0.5000) and As at (0.0000, 0.5000, 0.5000).

***

# 7
DFT (GGA-PBE) results for an optimized crystal structure of Sc2ReAs.

The crystal system is tetragonal. As for the formation energy: -0.243 eV per atom. For the total DFT energy (no corrections), the calculation gives -7.683 eV/atom.

The structure belongs to space group I-4m2 (No. 119); the cell edges are 3.9350, 3.9350 and 9.2181 Å and the angles 90.00°, 90.00° and 90.00°. The distinct sites, in fractional coordinates, are Sc at (0.0000, 0.0000, 0.0000), Sc at (0.0000, 0.5000, 0.2500), Re at (0.0000, 0.0000, 0.5000) and As at (0.0000, 0.5000, 0.7500).

***

# 8
DFT (GGA-PBE) results for an optimized crystal structure of Sc2ReAs.

The crystal system is orthorhombic. As for the formation energy: -0.368 eV per atom. For the total DFT energy (no corrections), the calculation gives -7.808 eV/atom.

The structure belongs to space group Imm2 (No. 44); the cell edges are 3.2639, 4.4494 and 10.4764 Å and the angles 90.00°, 90.00° and 90.00°. The distinct sites, in fractional coordinates, are Sc at (0.0000, 0.0000, 0.0000), Sc at (0.0000, 0.5000, 0.2239), Re at (0.0000, 0.0000, 0.4941) and As at (0.0000, 0.5000, 0.8070).

***

# 9
DFT (GGA-PBE) results for an optimized crystal structure of Sc2ReAs.

The crystal system is cubic. As for the formation energy: -0.154 eV per atom. For the total DFT energy (no corrections), the calculation gives -7.594 eV/atom.

The structure belongs to space group F-43m (No. 216); the cell edges are 6.4815, 6.4815 and 6.4815 Å and the angles 90.00°, 90.00° and 90.00°. The distinct sites, in fractional coordinates, are Sc at (0.0000, 0.0000, 0.0000), Sc at (0.2500, 0.2500, 0.2500), Re at (0.0000, 0.0000, 0.5000) and As at (0.2500, 0.2500, 0.7500).

***

# 10
DFT (GGA-PBE) results for an optimized crystal structure of ScReAs4.

The crystal system is cubic. As for the formation energy: 0.600 eV per atom. For the total DFT energy (no corrections), the calculation gives -5.629 eV/atom.

The structure belongs to space group F-43m (No. 216); the cell edges are 7.6240, 7.6240 and 7.6240 Å and the angles 90.00°, 90.00° and 90.00°. The distinct sites, in fractional coordinates, are Sc at (0.0000, 0.0000, 0.0000), Re at (0.2500, 0.2500, 0.2500) and As at (0.1249, 0.1249, 0.6249).

***

# 11
DFT (GGA-PBE) results for an optimized crystal structure of Sc2ReAs.

The crystal system is orthorhombic. As for the formation energy: -0.481 eV per atom. For the total DFT energy (no corrections), the calculation gives -7.921 eV/atom.

The structure belongs to space group Amm2 (No. 38); the cell edges are 4.2198, 3.5310 and 10.0780 Å and the angles 90.00°, 90.00° and 90.00°. The distinct sites, in fractional coordinates, are Sc at (0.0000, 0.0000, 0.0000), Sc at (0.5000, 0.0000, 0.2914), Re at (0.0000, 0.0000, 0.7246) and As at (0.5000, 0.0000, 0.5751).

***

# 12
DFT (GGA-PBE) results for an optimized crystal structure of Sc3ReAs.

The crystal system is cubic. As for the formation energy: 0.398 eV per atom. For the total DFT energy (no corrections), the calculation gives -6.820 eV/atom. The offset from the most stable computed form comes out at 18.7 kJ/mol of atoms.

The structure belongs to space group Pm-3m (No. 221); the cell edges are 4.8784, 4.8784 and 4.8784 Å and the angles 90.00°, 90.00° and 90.00°. The distinct sites, in fractional coordinates, are Sc at (0.0000, 0.0000, 0.5000), Re at (0.5000, 0.5000, 0.5000) and As at (0.0000, 0.0000, 0.0000).

***

What is the total DFT energy (no corrections) in the twelfth record?
-6.820 eV/atom

***

Which of these has the highest total DFT energy (no corrections)?
VReSbAs2